Entry 1:
# Sc2TaTiH PBE optimized geometry
# Raw total energy (eV/cell): -35.730
data_Sc2TaTiH
_cell_length_a 4.2974
_cell_length_b 4.2974
_cell_length_c 4.4058
_cell_angle_alpha 90.00
_cell_angle_beta 90.00
_cell_angle_gamma 90.00
_space_group_name_H-M_alt 'P 4/m m m'
_space_group_IT_number 123
_space_group_name_Hall '-P 4 2'
loop_
_atom_site_label
_atom_site_type_symbol
_atom_site_fract_x
_atom_site_fract_y
_atom_site_fract_z
_atom_site_occupancy
Sc1 Sc 0.0000 0.5000 0.0000 1
Ta1 Ta 0.0000 0.0000 0.5000 1
Ti1 Ti 0.5000 0.5000 0.5000 1
H1 H 0.5000 0.5000 0.0000 1

Entry 2:
# Sc2TaTlH PBE optimized geometry
# Raw total energy (eV/cell): -30.808
data_Sc2TaTlH
_cell_length_a 4.4954
_cell_length_b 4.4954
_cell_length_c 4.2086
_cell_angle_alpha 90.00
_cell_angle_beta 90.00
_cell_angle_gamma 90.00
_space_group_name_H-M_alt 'P 4/m m m'
_space_group_IT_number 123
_space_group_name_Hall '-P 4 2'
loop_
_atom_site_label
_atom_site_type_symbol
_atom_site_fract_x
_atom_site_fract_y
_atom_site_fract_z
_atom_site_occupancy
Sc1 Sc 0.0000 0.5000 0.0000 1
Ta1 Ta 0.0000 0.0000 0.5000 1
Tl1 Tl 0.5000 0.5000 0.5000 1
H1 H 0.0000 0.0000 0.0000 1

Entry 3:
# Sc2TaZnH PBE optimized geometry
# Raw total energy (eV/cell): -29.717
data_Sc2TaZnH
_cell_length_a 4.3247
_cell_length_b 4.3247
_cell_length_c 4.1976
_cell_angle_alpha 90.00
_cell_angle_beta 90.00
_cell_angle_gamma 90.00
_space_group_name_H-M_alt 'P 4/m m m'
_space_group_IT_number 123
_space_group_name_Hall '-P 4 2'
loop_
_atom_site_label
_atom_site_type_symbol
_atom_site_fract_x
_atom_site_fract_y
_atom_site_fract_z
_atom_site_occupancy
Sc1 Sc 0.0000 0.5000 0.0000 1
Ta1 Ta 0.0000 0.0000 0.5000 1
Zn1 Zn 0.5000 0.5000 0.5000 1
H1 H 0.0000 0.0000 0.0000 1

Entry 4:
# ZrSc2TaH PBE optimized geometry
# Polymorph energy (0 for the lowest one) (meV/atom): 16
# Raw total energy (eV/cell): -36.461
data_ZrSc2TaH
_cell_length_a 4.3725
_cell_length_b 4.3725
_cell_length_c 4.5726
_cell_angle_alpha 90.00
_cell_angle_beta 90.00
_cell_angle_gamma 90.00
_space_group_name_H-M_alt 'P 4/m m m'
_space_group_IT_number 123
_space_group_name_Hall '-P 4 2'
loop_
_atom_site_label
_atom_site_type_symbol
_atom_site_fract_x
_atom_site_fract_y
_atom_site_fract_z
_atom_site_occupancy
Zr1 Zr 0.0000 0.0000 0.0000 1
Sc1 Sc 0.0000 0.5000 0.5000 1
Ta1 Ta 0.5000 0.5000 0.0000 1
H1 H 0.5000 0.5000 0.5000 1